Entry 1:
Below is an optimized crystal structure of LaYRe2, with properties calculated at the PBE-GGA level.

Output
The calculation puts the calculated volume at 98 Å³/f.u. The calculation puts the formation energy at 306 meV/atom. The polymorph energy (0 for the lowest one) comes out at 209.0 meV/atom.

Cell lengths 3.1592, 4.0864, 7.6666 Å; angles 90.00, 96.85, 90.00 degrees
Closest atoms and distances in Å follow each position.
Space group Pm (No. 6)
Inequivalent atoms, fractional coordinates:
La 0.0000 0.0000 0.0000 x1  3 Re 2.98-3.08, 2 La 3.16
Y 0.3054 0.5000 0.6089 x1  3 Re 2.83-3.03, 2 Y 3.16
Re 0.4689 0.5000 0.2543 x1  2 Re 2.44
Re 0.8164 0.0000 0.3727 x1  2 Re 2.44


Entry 2:
Below is an optimized crystal structure of BaZnIO2, with properties calculated at the PBE-GGA level.

Output
The calculation puts the calculated volume at 154 Å³/f.u. The uncorrected formation energy comes out at -185 kJ/mol of formula units. The polymorph energy (0 for the lowest one) comes out at 458.7 meV/atom.

Cell lengths 4.5257, 4.5257, 7.4985 Å; angles 90.00, 90.00, 90.00 degrees
Closest atoms and distances in Å follow each position.
Space group P4/mmm (No. 123)
Inequivalent atoms, fractional coordinates:
Ba 0.0000 0.0000 0.0000 x1  4 O 2.26
Zn 0.5000 0.5000 0.5000 x1  4 I 3.20
I 0.0000 0.0000 0.5000 x1  4 Zn 3.20
O 0.0000 0.5000 0.0000 x2  2 Ba 2.26


Entry 3:
Below is an optimized crystal structure of Pm5TmAl3, with properties calculated at the PBE-GGA level.

Output
The calculation puts the calculated volume at 250 Å³/f.u. The calculation puts the formation energy at -243 meV/atom.

Cell lengths 9.2339, 9.2339, 6.7684 Å; angles 90.00, 90.00, 120.00 degrees
Closest atoms and distances in Å follow each position.
Space group P6_3/mcm (No. 193)
Inequivalent atoms, fractional coordinates:
Pm 0.0000 0.3346 0.2500 x6  5 Al 3.06-3.38
Pm 0.3333 0.6667 0.0000 x4  8 Pm 3.38-3.51, 6 Al 3.54
Tm 0.0000 0.0000 0.0000 x2  2 Tm 3.38, 6 Al 3.46, 6 Pm 3.52
Al 0.0000 0.3272 0.7500 x6  5 Pm 3.06-3.38


Entry 4:
Below is an optimized crystal structure of CrBi2TeBr, with properties calculated at the PBE-GGA level.

Output
The calculation puts the calculated volume at 135 Å³/f.u. The uncorrected formation energy comes out at 134 kJ/mol of formula units.

Cell lengths 5.3716, 5.3716, 4.6827 Å; angles 90.00, 90.00, 90.00 degrees
Closest atoms and distances in Å follow each position.
Space group P4/mmm (No. 123)
Inequivalent atoms, fractional coordinates:
Cr 0.0000 0.0000 0.0000 x1  2 Br 2.34
Bi 0.0000 0.5000 0.0000 x2  2 Cr 2.69
Te 0.5000 0.5000 0.5000 x1  8 Bi 3.56, 4 Br 3.80
Br 0.0000 0.0000 0.5000 x1  2 Cr 2.34


Entry 5:
Below is an optimized crystal structure of Ba2ScPdO5, with properties calculated at the PBE-GGA level.

Output
The calculation puts the calculated volume at 147 Å³/f.u. The uncorrected formation energy comes out at -1907 kJ/mol of formula units.

Cell lengths 3.7367, 14.7719, 10.6495 Å; angles 90.00, 90.00, 90.00 degrees
Closest atoms and distances in Å follow each position.
Space group Cmc2_1 (No. 36)
Inequivalent atoms, fractional coordinates:
Ba 0.0000 0.1209 0.0000 x4  7 O 2.68-2.99
Ba 0.0000 0.1281 0.6233 x4  8 O 2.71-2.98
Sc 0.0000 0.4265 0.7805 x4  4 O 1.95-2.04
Pd 0.0000 0.2119 0.3333 x4  4 O 2.01-2.19
O 0.0000 0.0649 0.3570 x4  2 Sc 2.04, 1 Pd 2.19
O 0.0000 0.2970 0.9402 x4  2 Pd 2.19
O 0.0000 0.3048 0.6933 x4  1 Sc 2.02
O 0.0000 0.3478 0.3182 x4  1 Pd 2.01
O 0.0000 0.4927 0.6220 x4  1 Sc 1.95


Entry 6:
Below is an optimized crystal structure of TmPd5Pt4, with properties calculated at the PBE-GGA level.

Output
The calculation puts the calculated volume at 174 Å³/f.u. The calculation puts the formation energy at -237 meV/atom.

Cell lengths 7.5312, 9.6655, 4.7710 Å; angles 90.00, 90.00, 90.00 degrees
Closest atoms and distances in Å follow each position.
Space group Pmmn (No. 59, origin choice 2)
Inequivalent atoms, fractional coordinates:
Tm 0.2500 0.2500 0.1244 x2  4 Pt 2.81
Pd 0.0723 0.5185 0.7511 x8  4 Pd 2.61-2.68, 4 Pt 2.67-2.87
Pd 0.2500 0.7500 0.7699 x2  4 Pd 2.61, 4 Pt 2.74-2.85
Pt 0.0537 0.2500 0.6245 x4  3 Pd 2.67-2.96, 3 Pt 2.77-2.96, 2 Tm 2.81
Pt 0.2500 0.6000 0.2562 x4  8 Pd 2.68-2.87, 3 Pt 2.77-2.90


Number 1: density 10.14 g/cm3. Number 2: density 3.91 g/cm3. Number 3: density 6.48 g/cm3. Number 4: density 8.33 g/cm3. Number 5: density 5.72 g/cm3. Number 6: density 14.17 g/cm3.